This record from the Open Quantum Materials Database describes crystalline Tm2Lu2B3C4 at its relaxed geometry. The functional is PBE.

Summary:
The raw total energy is -80.56 eV/cell. As for the space-group type: P-1.

Lattice parameters (Å, degrees): 3.4245 3.5147 11.7841 92.63 96.13 90.17
With the nearest neighbours (Å) after each atom.
Fractional positions:
C 0.3122 0.5278 0.6686  1 B 1.50
C 0.1125 0.9371 0.1213  1 B 1.47
C 0.6878 0.4722 0.3314  1 B 1.50
C 0.8875 0.0629 0.8787  1 B 1.47
Tm 0.3852 0.5532 0.8595  5 C 2.23-2.50
Tm 0.6148 0.4468 0.1405  5 C 2.23-2.50
Lu 0.1950 0.9754 0.3499  5 C 2.46-2.67
Lu 0.8050 0.0246 0.6501  5 C 2.46-2.67
B 0.2655 0.5070 0.5401  1 C 1.50
B 0.0000 0.0000 0.0000  2 C 1.47
B 0.7345 0.4930 0.4599  1 C 1.50